FeIrRh2 after structural relaxation, computed with PBEsol.

a b c (Å): 3.7575 3.7575 4.5701
angles (deg): 114.27 114.27 90.00
With the nearest neighbours (Å) after each atom.
Fractional positions:
Ir 0.2500 0.7500 0.5000  4 Fe 2.64, 8 Rh 2.64-2.66
Rh 0.0000 0.0000 0.0000  4 Ir 2.64, 4 Rh 2.64, 4 Fe 2.66
Rh 0.7500 0.2500 0.5000  4 Fe 2.64, 4 Rh 2.64, 4 Ir 2.66
Fe 0.5000 0.5000 0.0000  4 Ir 2.64, 8 Rh 2.64-2.66

Computed properties:
Density of states at the Fermi level: 1.13 states/eV per atom
Formation enthalpy at 0 K: -28 meV per atom
VASP energy: -8.79 eV per atom
Total moment: 2.995 μB/f.u.
Crystal system: tetragonal